(1)
First-principles (PBE) data for crystalline Mg2BeTc at its relaxed geometry, as listed in Alexandria via LeMat-Bulk.

Calculated values
The calculation puts the density of states at the Fermi level at 2.41 states/eV/cell. The spin magnetization is 0.0 Bohr magnetons per cell. For the formation energy, the calculation gives 1.13 eV/f.u. The excess energy over the best structure of this formula in the dataset comes out at 0.137 eV/atom. As for the total energy: -4.04 eV per atom.

Cell lengths 5.255, 5.255, 5.255 Å; angles 147.50, 130.61, 60.37 degrees
Element x y z (fractional)
Mg 0.227 0.227 0.000
Mg 0.773 0.773 0.000
Be 0.000 0.500 0.500
Tc 0.500 0.000 0.500



(2)
First-principles (PBE) data for crystalline MgBeTc at its relaxed geometry, as listed in Alexandria via LeMat-Bulk.

Calculated values
The calculation puts the density of states at the Fermi level at 2.01 states/eV/cell. The spin magnetization is 0.0 Bohr magnetons per cell. For the formation energy, the calculation gives 0.53 eV/f.u. The excess energy over the best structure of this formula in the dataset comes out at 0.000 eV/atom. As for the total energy: -5.05 eV per atom.

Cell lengths 5.173, 5.173, 5.173 Å; angles 149.57, 142.63, 48.93 degrees
Element x y z (fractional)
Mg 0.000 0.000 0.000
Be 0.309 0.309 0.000
Tc 0.700 0.700 0.000



(3)
First-principles (PBE) data for crystalline MgBeTc2 at its relaxed geometry, as listed in Alexandria via LeMat-Bulk.

Calculated values
The calculation puts the density of states at the Fermi level at 3.07 states/eV/cell. The spin magnetization is 0.0 Bohr magnetons per cell. For the formation energy, the calculation gives 0.80 eV/f.u. The excess energy over the best structure of this formula in the dataset comes out at 0.220 eV/atom. As for the total energy: -6.31 eV per atom.

Cell lengths 4.510, 4.510, 4.794 Å; angles 97.78, 97.78, 36.05 degrees
Element x y z (fractional)
Mg 0.000 0.000 0.000
Be 0.755 0.755 0.233
Tc 0.239 0.239 0.692
Tc 0.483 0.483 0.484



(4)
First-principles (PBE) data for crystalline Mg2Be2Tc at its relaxed geometry, as listed in Alexandria via LeMat-Bulk.

Calculated values
The calculation puts the density of states at the Fermi level at 3.78 states/eV/cell. The spin magnetization is 0.0 Bohr magnetons per cell. For the formation energy, the calculation gives 2.39 eV/f.u. The excess energy over the best structure of this formula in the dataset comes out at 0.154 eV/atom. As for the total energy: -3.72 eV per atom.

Cell lengths 7.057, 7.057, 2.742 Å; angles 90.00, 90.00, 90.00 degrees
Element x y z (fractional)
Mg 0.138 0.362 0.000
Mg 0.362 0.862 0.000
Mg 0.638 0.138 0.000
Mg 0.862 0.638 0.000
Be 0.163 0.663 0.500
Be 0.337 0.163 0.500
Be 0.663 0.837 0.500
Be 0.837 0.337 0.500
Tc 0.000 0.000 0.000
Tc 0.500 0.500 0.000



(5)
First-principles (PBE) data for crystalline MgBeTc2 at its relaxed geometry, as listed in Alexandria via LeMat-Bulk.

Calculated values
The calculation puts the density of states at the Fermi level at 3.07 states/eV/cell. The spin magnetization is 0.0 Bohr magnetons per cell. For the formation energy, the calculation gives 1.29 eV/f.u. The excess energy over the best structure of this formula in the dataset comes out at 0.342 eV/atom. As for the total energy: -6.19 eV per atom.

Cell lengths 4.924, 4.924, 2.601 Å; angles 90.00, 90.00, 116.93 degrees
Element x y z (fractional)
Mg 0.000 0.000 0.000
Be 0.500 0.500 0.000
Tc 0.000 0.500 0.500
Tc 0.500 0.000 0.500



(6)
First-principles (PBE) data for crystalline MgBeTc2 at its relaxed geometry, as listed in Alexandria via LeMat-Bulk.

Calculated values
The calculation puts the density of states at the Fermi level at 4.00 states/eV/cell. The spin magnetization is 0.0 Bohr magnetons per cell. For the formation energy, the calculation gives 1.10 eV/f.u. The excess energy over the best structure of this formula in the dataset comes out at 0.295 eV/atom. As for the total energy: -6.24 eV per atom.

Cell lengths 3.668, 3.668, 4.161 Å; angles 90.00, 90.00, 90.00 degrees
Element x y z (fractional)
Mg 0.000 0.000 0.000
Be 0.500 0.500 0.000
Tc 0.000 0.500 0.500
Tc 0.500 0.000 0.500



(7)
First-principles (PBE) data for crystalline Mg2BeTc at its relaxed geometry, as listed in Alexandria via LeMat-Bulk.

Calculated values
The calculation puts the density of states at the Fermi level at 1.15 states/eV/cell. The spin magnetization is 0.0 Bohr magnetons per cell. For the formation energy, the calculation gives 0.91 eV/f.u. The excess energy over the best structure of this formula in the dataset comes out at 0.082 eV/atom. As for the total energy: -4.09 eV per atom.

Cell lengths 3.733, 3.733, 4.212 Å; angles 90.00, 90.00, 90.00 degrees
Element x y z (fractional)
Mg 0.000 0.500 0.000
Mg 0.500 0.000 0.000
Be 0.000 0.000 0.500
Tc 0.500 0.500 0.500



(8)
First-principles (PBE) data for crystalline Mg3BeTc at its relaxed geometry, as listed in Alexandria via LeMat-Bulk.

Calculated values
The calculation puts the density of states at the Fermi level at 3.05 states/eV/cell. The spin magnetization is 2.6 Bohr magnetons per cell. For the formation energy, the calculation gives 4.35 eV/f.u. The excess energy over the best structure of this formula in the dataset comes out at 0.000 eV/atom. As for the total energy: -2.90 eV per atom.

Cell lengths 4.572, 4.572, 4.572 Å; angles 90.00, 90.00, 90.00 degrees
Element x y z (fractional)
Mg 0.000 0.000 0.500
Mg 0.000 0.500 0.000
Mg 0.500 0.000 0.000
Be 0.000 0.000 0.000
Tc 0.500 0.500 0.500



(9)
First-principles (PBE) data for crystalline Mg2BeTc at its relaxed geometry, as listed in Alexandria via LeMat-Bulk.

Calculated values
The calculation puts the density of states at the Fermi level at 2.86 states/eV/cell. The spin magnetization is 0.0 Bohr magnetons per cell. For the formation energy, the calculation gives 1.44 eV/f.u. The excess energy over the best structure of this formula in the dataset comes out at 0.216 eV/atom. As for the total energy: -3.96 eV per atom.

Cell lengths 2.698, 2.698, 8.571 Å; angles 90.00, 90.00, 100.46 degrees
Element x y z (fractional)
Mg 0.000 0.000 0.238
Mg 0.000 0.000 0.762
Be 0.500 0.500 0.000
Tc 0.500 0.500 0.500



(10)
First-principles (PBE) data for crystalline Mg4BeTc at its relaxed geometry, as listed in Alexandria via LeMat-Bulk.

Calculated values
The calculation puts the density of states at the Fermi level at 5.88 states/eV/cell. The spin magnetization is 0.9 Bohr magnetons per cell. For the formation energy, the calculation gives 4.50 eV/f.u. As for the total energy: -2.66 eV per atom.

Cell lengths 5.360, 5.360, 5.360 Å; angles 60.00, 60.00, 60.00 degrees
Element x y z (fractional)
Mg 0.124 0.124 0.124
Mg 0.124 0.124 0.627
Mg 0.124 0.627 0.124
Mg 0.627 0.124 0.124
Be 0.500 0.500 0.500
Tc 0.750 0.750 0.750



(11)
First-principles (PBE) data for crystalline MgBeTc2 at its relaxed geometry, as listed in Alexandria via LeMat-Bulk.

Calculated values
The calculation puts the density of states at the Fermi level at 4.12 states/eV/cell. The spin magnetization is 0.0 Bohr magnetons per cell. For the formation energy, the calculation gives 1.08 eV/f.u. The excess energy over the best structure of this formula in the dataset comes out at 0.288 eV/atom. As for the total energy: -6.24 eV per atom.

Cell lengths 8.767, 8.767, 8.767 Å; angles 18.02, 18.02, 18.02 degrees
Element x y z (fractional)
Mg 0.000 0.000 0.000
Be 0.500 0.500 0.500
Tc 0.242 0.242 0.242
Tc 0.758 0.758 0.758



(12)
First-principles (PBE) data for crystalline Mg2BeTc2 at its relaxed geometry, as listed in Alexandria via LeMat-Bulk.

Calculated values
The calculation puts the density of states at the Fermi level at 3.94 states/eV/cell. The spin magnetization is 0.0 Bohr magnetons per cell. For the formation energy, the calculation gives 3.26 eV/f.u. The excess energy over the best structure of this formula in the dataset comes out at 0.412 eV/atom. As for the total energy: -4.88 eV per atom.

Cell lengths 7.989, 7.989, 7.989 Å; angles 154.96, 154.96, 35.70 degrees
Element x y z (fractional)
Mg 0.097 0.097 0.000
Mg 0.903 0.903 0.000
Be 0.500 0.500 0.000
Tc 0.250 0.750 0.500
Tc 0.750 0.250 0.500



(13)
First-principles (PBE) data for crystalline Mg2BeTc at its relaxed geometry, as listed in Alexandria via LeMat-Bulk.

Calculated values
The calculation puts the density of states at the Fermi level at 2.13 states/eV/cell. The spin magnetization is 0.0 Bohr magnetons per cell. For the formation energy, the calculation gives 1.39 eV/f.u. The excess energy over the best structure of this formula in the dataset comes out at 0.202 eV/atom. As for the total energy: -3.97 eV per atom.

Cell lengths 2.728, 4.163, 5.399 Å; angles 90.00, 90.00, 90.00 degrees
Element x y z (fractional)
Mg 0.000 0.000 0.249
Mg 0.000 0.000 0.751
Be 0.500 0.500 0.500
Tc 0.500 0.500 0.000



(14)
First-principles (PBE) data for crystalline Mg2BeTc at its relaxed geometry, as listed in Alexandria via LeMat-Bulk.

Calculated values
The calculation puts the density of states at the Fermi level at 2.15 states/eV/cell. The spin magnetization is 0.0 Bohr magnetons per cell. For the formation energy, the calculation gives 1.20 eV/f.u. The excess energy over the best structure of this formula in the dataset comes out at 0.155 eV/atom. As for the total energy: -4.02 eV per atom.

Cell lengths 5.183, 5.183, 2.715 Å; angles 99.66, 99.66, 118.29 degrees
Element x y z (fractional)
Mg 0.000 0.500 0.000
Mg 0.500 0.000 0.000
Be 0.000 0.000 0.500
Tc 0.500 0.500 0.500



(15)
First-principles (PBE) data for crystalline MgBeTc2 at its relaxed geometry, as listed in Alexandria via LeMat-Bulk.

Calculated values
The calculation puts the density of states at the Fermi level at 2.64 states/eV/cell. The spin magnetization is 0.0 Bohr magnetons per cell. For the formation energy, the calculation gives 0.91 eV/f.u. The excess energy over the best structure of this formula in the dataset comes out at 0.247 eV/atom. As for the total energy: -6.29 eV per atom.

Cell lengths 2.626, 4.224, 5.171 Å; angles 90.00, 103.02, 90.00 degrees
Element x y z (fractional)
Mg 0.000 0.000 0.000
Be 0.500 0.000 0.500
Tc 0.273 0.500 0.739
Tc 0.727 0.500 0.261



(16)
First-principles (PBE) data for crystalline MgBe2Tc at its relaxed geometry, as listed in Alexandria via LeMat-Bulk.

Calculated values
The calculation puts the density of states at the Fermi level at 1.81 states/eV/cell. The spin magnetization is 0.0 Bohr magnetons per cell. For the formation energy, the calculation gives 0.50 eV/f.u. The excess energy over the best structure of this formula in the dataset comes out at 0.089 eV/atom. As for the total energy: -4.73 eV per atom.

Cell lengths 4.727, 4.727, 4.290 Å; angles 109.00, 109.00, 32.82 degrees
Element x y z (fractional)
Mg 0.000 0.000 0.000
Be 0.239 0.239 0.808
Be 0.536 0.536 0.515
Tc 0.784 0.784 0.346



(17)
First-principles (PBE) data for crystalline Mg2BeTc2 at its relaxed geometry, as listed in Alexandria via LeMat-Bulk.

Calculated values
The calculation puts the density of states at the Fermi level at 8.09 states/eV/cell. The spin magnetization is 0.0 Bohr magnetons per cell. For the formation energy, the calculation gives 1.20 eV/f.u. The excess energy over the best structure of this formula in the dataset comes out at 0.000 eV/atom. As for the total energy: -5.29 eV per atom.

Cell lengths 5.965, 5.965, 4.499 Å; angles 90.00, 90.00, 90.00 degrees
Element x y z (fractional)
Mg 0.169 0.331 0.000
Mg 0.331 0.831 0.000
Mg 0.669 0.169 0.000
Mg 0.831 0.669 0.000
Be 0.000 0.000 0.500
Be 0.500 0.500 0.500
Tc 0.142 0.642 0.500
Tc 0.358 0.142 0.500
Tc 0.642 0.858 0.500
Tc 0.858 0.358 0.500



(18)
First-principles (PBE) data for crystalline MgBe2Tc at its relaxed geometry, as listed in Alexandria via LeMat-Bulk.

Calculated values
The calculation puts the density of states at the Fermi level at 2.82 states/eV/cell. The spin magnetization is 0.1 Bohr magnetons per cell. For the formation energy, the calculation gives 1.32 eV/f.u. The excess energy over the best structure of this formula in the dataset comes out at 0.295 eV/atom. As for the total energy: -4.52 eV per atom.

Cell lengths 8.409, 8.409, 8.409 Å; angles 18.80, 18.80, 18.80 degrees
Element x y z (fractional)
Mg 0.000 0.000 0.000
Be 0.242 0.242 0.242
Be 0.758 0.758 0.758
Tc 0.500 0.500 0.500



(19)
First-principles (PBE) data for crystalline MgBeTc2 at its relaxed geometry, as listed in Alexandria via LeMat-Bulk.

Calculated values
The calculation puts the density of states at the Fermi level at 2.82 states/eV/cell. The spin magnetization is 0.0 Bohr magnetons per cell. For the formation energy, the calculation gives 1.07 eV/f.u. The excess energy over the best structure of this formula in the dataset comes out at 0.286 eV/atom. As for the total energy: -6.25 eV per atom.

Cell lengths 2.700, 2.700, 8.571 Å; angles 90.00, 90.00, 112.36 degrees
Element x y z (fractional)
Mg 0.000 0.000 0.000
Be 0.500 0.500 0.743
Tc 0.000 0.000 0.525
Tc 0.500 0.500 0.276



(20)
First-principles (PBE) data for crystalline MgBe2Tc at its relaxed geometry, as listed in Alexandria via LeMat-Bulk.

Calculated values
The calculation puts the density of states at the Fermi level at 3.23 states/eV/cell. The spin magnetization is 0.0 Bohr magnetons per cell. For the formation energy, the calculation gives 0.60 eV/f.u. The excess energy over the best structure of this formula in the dataset comes out at 0.114 eV/atom. As for the total energy: -4.70 eV per atom.

Cell lengths 4.693, 4.693, 4.693 Å; angles 136.43, 136.43, 63.31 degrees
Element x y z (fractional)
Mg 0.000 0.000 0.000
Be 0.500 0.500 0.000
Be 0.750 0.250 0.500
Tc 0.250 0.750 0.500